1.
Computed, not measured: an optimized crystal structure of K3AsC at the PBE level of DFT.

a = 5.627 Å, b = 5.627 Å, c = 5.627 Å
α = 90.00°, β = 90.00°, γ = 90.00°
Space group Pm-3m (No. 221)
Asymmetric unit:
1 K 0.000 0.000 0.500
2 As 0.500 0.500 0.500
3 C 0.000 0.000 0.000

* total DFT energy (no corrections): -2.59 eV/atom
* ΔH_f (0 K): 0.844 eV per atom
* energy relative to the lowest polymorph listed for this composition: 0 meV/atom

---

2.
Computed, not measured: an optimized crystal structure of Mg2NiSe at the PBE level of DFT.

a = 3.189 Å, b = 4.109 Å, c = 11.237 Å
α = 90.00°, β = 90.00°, γ = 90.00°
Space group Imm2 (No. 44)
Asymmetric unit:
1 Mg 0.000 0.000 0.000
2 Mg 0.000 0.500 0.196
3 Ni 0.000 0.500 0.704
4 Se 0.000 0.000 0.376

* total DFT energy (no corrections): -3.42 eV/atom
* E_form (uncorrected): -303 meV/atom

---

3.
Computed, not measured: an optimized crystal structure of Mn2AsSeN at the PBE level of DFT.

a = 4.038 Å, b = 4.038 Å, c = 4.733 Å
α = 90.00°, β = 90.00°, γ = 90.00°
Space group P4/mmm (No. 123)
Asymmetric unit:
1 Mn 0.000 0.500 0.000
2 As 0.000 0.000 0.500
3 Se 0.500 0.500 0.500
4 N 0.000 0.000 0.000

* total DFT energy (no corrections): -6.63 eV/atom
* E_form (uncorrected): 329 meV/atom

---

4.
Computed, not measured: an optimized crystal structure of Ba2FeAg at the PBE level of DFT.

a = 5.795 Å, b = 5.795 Å, c = 3.888 Å
α = 90.00°, β = 90.00°, γ = 90.00°
Space group P4/mmm (No. 123)
Asymmetric unit:
1 Ba 0.000 0.500 0.000
2 Fe 0.000 0.000 0.500
3 Ag 0.500 0.500 0.500

* total DFT energy (no corrections): -3.44 eV/atom
* ΔH_f (0 K): 0.352 eV per atom
* energy relative to the lowest polymorph listed for this composition: 127 meV/atom

---

5.
Computed, not measured: an optimized crystal structure of PuTlBi2 at the PBE level of DFT.

a = 7.919 Å, b = 7.919 Å, c = 7.919 Å
α = 90.00°, β = 90.00°, γ = 90.00°
Space group Fm-3m (No. 225)
Asymmetric unit:
1 Pu 0.000 0.000 0.000
2 Tl 0.000 0.000 0.500
3 Bi 0.250 0.250 0.250

* total DFT energy (no corrections): -6.16 eV/atom
* ΔH_f (0 K): -0.041 eV per atom
* energy relative to the lowest polymorph listed for this composition: 178 meV/atom